# 1
# Cs2NbAg2 | the Alexandria database | PBE | optimized geometry
# crystal system = tetragonal
# E = -11.709 eV/f.u.
# theoretical density = 5.1 g cm⁻³
data_Cs2NbAg2
_chemical_formula_sum 'Cs4 Nb2 Ag4'
_symmetry_space_group_name_H-M 'P 4/m b m'
_symmetry_Int_Tables_number 127
_symmetry_space_group_name_Hall '-P 4 2ab'
_cell_length_a 10.274
_cell_length_b 10.274
_cell_length_c 3.521
_cell_angle_alpha 90.00
_cell_angle_beta 90.00
_cell_angle_gamma 90.00
loop_
_atom_site_label
_atom_site_fract_x
_atom_site_fract_y
_atom_site_fract_z
Cs1 0.131 0.369 0.000
Nb1 0.000 0.000 0.000
Ag1 0.173 0.673 0.500



# 2
# Cs2Nb2AgO7 | the Alexandria database | PBE | optimized geometry
# ΔE_f (raw) = -2153.8 kJ/mol of formula units
# crystal system = monoclinic
# E = -81.728 eV/f.u.
# theoretical density = 5.4 g cm⁻³
data_Cs2Nb2AgO7
_chemical_formula_sum 'Cs4 Nb4 Ag2 O14'
_symmetry_space_group_name_H-M 'C 1 2/m 1'
_symmetry_Int_Tables_number 12
_cell_length_a 5.829
_cell_length_b 5.827
_cell_length_c 12.316
_cell_angle_alpha 90.00
_cell_angle_beta 101.92
_cell_angle_gamma 90.00
loop_
_symmetry_equiv_pos_as_xyz
'x,y,z'
'-x,-y,-z'
'-x,y,-z'
'x,-y,z'
'x+1/2,y+1/2,z'
'-x+1/2,-y+1/2,-z'
'-x+1/2,y+1/2,-z'
'x+1/2,-y+1/2,z'
loop_
_atom_site_label
_atom_site_fract_x
_atom_site_fract_y
_atom_site_fract_z
Cs1 0.198 0.000 0.375
Nb1 0.131 0.500 0.170
Ag1 0.000 0.000 0.000
O1 0.000 0.500 0.000
O2 0.146 0.244 0.838
O3 0.165 0.500 0.326



# 3
# CsNbAgSb2 | the Alexandria database | PBE | optimized geometry
# ΔE_f (raw) = 516.3 kJ/mol of formula units
# crystal system = tetragonal
# E = -16.668 eV/f.u.
# theoretical density = 5.5 g cm⁻³
data_CsNbAgSb2
_chemical_formula_sum 'Cs1 Nb1 Ag1 Sb2'
_symmetry_space_group_name_H-M 'P 4/m m m'
_symmetry_Int_Tables_number 123
_symmetry_space_group_name_Hall '-P 4 2'
_cell_length_a 5.435
_cell_length_b 5.435
_cell_length_c 5.864
_cell_angle_alpha 90.00
_cell_angle_beta 90.00
_cell_angle_gamma 90.00
loop_
_atom_site_label
_atom_site_fract_x
_atom_site_fract_y
_atom_site_fract_z
Cs1 0.000 0.000 0.000
Nb1 0.500 0.500 0.000
Ag1 0.000 0.000 0.500
Sb1 0.000 0.500 0.500



# 4
# CsNbAgSe4 | the Alexandria database | PBE | optimized geometry
# ΔE_f (raw) = -459.9 kJ/mol of formula units
# crystal system = monoclinic
# E = -32.480 eV/f.u.
# theoretical density = 4.3 g cm⁻³
data_CsNbAgSe4
_chemical_formula_sum 'Cs2 Nb2 Ag2 Se8'
_symmetry_space_group_name_H-M 'P 1 21/m 1'
_symmetry_Int_Tables_number 11
_cell_length_a 6.144
_cell_length_b 9.179
_cell_length_c 8.899
_cell_angle_alpha 90.00
_cell_angle_beta 90.74
_cell_angle_gamma 90.00
loop_
_symmetry_equiv_pos_as_xyz
'x,y,z'
'-x,-y,-z'
'-x,y+1/2,-z'
'x,-y+1/2,z'
loop_
_atom_site_label
_atom_site_fract_x
_atom_site_fract_y
_atom_site_fract_z
Cs1 0.206 0.250 0.171
Nb1 0.469 0.250 0.697
Ag1 0.033 0.750 0.315
Se1 0.246 0.031 0.698
Se2 0.298 0.750 0.082
Se3 0.327 0.750 0.539



# 5
# Cs2NbAgSe4 | the Alexandria database | PBE | optimized geometry
# energy above the most stable polymorph in this dataset = 14 meV per atom
# ΔE_f (raw) = -744.6 kJ/mol of formula units
# crystal system = orthorhombic
# E = -36.283 eV/f.u.
# theoretical density = 4.4 g cm⁻³
data_Cs2NbAgSe4
_chemical_formula_sum 'Cs16 Nb8 Ag8 Se32'
_symmetry_space_group_name_H-M 'F d d d'
_symmetry_Int_Tables_number 70
_cell_length_a 6.126
_cell_length_b 14.977
_cell_length_c 25.823
_cell_angle_alpha 90.00
_cell_angle_beta 90.00
_cell_angle_gamma 90.00
loop_
_symmetry_equiv_pos_as_xyz
'x,y,z'
'-x,-y,-z'
'-x+1/4,-y+1/4,z'
'x+1/4,y+1/4,-z'
'x,-y+1/4,-z+1/4'
'-x,y+1/4,z+1/4'
'-x+1/4,y,-z+1/4'
'x+1/4,-y,z+1/4'
'x,y+1/2,z+1/2'
'-x,-y+1/2,-z+1/2'
'-x+1/4,-y+3/4,z+1/2'
'x+1/4,y+3/4,-z+1/2'
'x,-y+3/4,-z+3/4'
'-x,y+3/4,z+3/4'
'-x+1/4,y+1/2,-z+3/4'
'x+1/4,-y+1/2,z+3/4'
'x+1/2,y,z+1/2'
'-x+1/2,-y,-z+1/2'
'-x+3/4,-y+1/4,z+1/2'
'x+3/4,y+1/4,-z+1/2'
'x+1/2,-y+1/4,-z+3/4'
'-x+1/2,y+1/4,z+3/4'
'-x+3/4,y,-z+3/4'
'x+3/4,-y,z+3/4'
'x+1/2,y+1/2,z'
'-x+1/2,-y+1/2,-z'
'-x+3/4,-y+3/4,z'
'x+3/4,y+3/4,-z'
'x+1/2,-y+3/4,-z+1/4'
'-x+1/2,y+3/4,z+1/4'
'-x+3/4,y+1/2,-z+1/4'
'x+3/4,-y+1/2,z+1/4'
loop_
_atom_site_label
_atom_site_fract_x
_atom_site_fract_y
_atom_site_fract_z
Cs1 0.125 0.125 0.303
Nb1 0.125 0.125 0.625
Ag1 0.125 0.125 0.125
Se1 0.096 0.278 0.820



# 6
# CsNbAg2Se4 | the Alexandria database | PBE | optimized geometry
# ΔE_f (raw) = -473.5 kJ/mol of formula units
# crystal system = orthorhombic
# E = -35.471 eV/f.u.
# theoretical density = 4.7 g cm⁻³
data_CsNbAg2Se4
_chemical_formula_sum 'Cs2 Nb2 Ag4 Se8'
_symmetry_space_group_name_H-M 'I 2 2 2'
_symmetry_Int_Tables_number 23
_cell_length_a 6.504
_cell_length_b 8.637
_cell_length_c 9.474
_cell_angle_alpha 90.00
_cell_angle_beta 90.00
_cell_angle_gamma 90.00
loop_
_symmetry_equiv_pos_as_xyz
'x,y,z'
'-x,-y,z'
'x,-y,-z'
'-x,y,-z'
'x+1/2,y+1/2,z+1/2'
'-x+1/2,-y+1/2,z+1/2'
'x+1/2,-y+1/2,-z+1/2'
'-x+1/2,y+1/2,-z+1/2'
loop_
_atom_site_label
_atom_site_fract_x
_atom_site_fract_y
_atom_site_fract_z
Cs1 0.000 0.000 0.000
Nb1 0.000 0.000 0.500
Ag1 0.000 0.500 0.151
Se1 0.191 0.176 0.345



no.,total moment (μB per cell)
1,7.95
2,2.06
3,3.46
4,0.00
5,0.00
6,0.00